The following is a PBE calculation of a geometry-optimized Er3Al4 structure, from Alexandria via LeMat-Bulk.

extended XYZ file:
```
7
Lattice="-1.761 2.254 9.787 1.761 -2.254 9.787 1.761 2.254 -9.787" Properties=species:S:1:pos:R:3 pbc="T T T"
Er 0.000 0.000 0.000
Er 1.761 0.000 5.935
Er 0.000 2.254 3.851
Al 1.761 0.000 2.733
Al 0.000 0.000 8.485
Al 0.000 0.000 11.088
Al 0.000 2.254 7.054
```

Calculated values
As for the relative energy among the computed polymorphs: 0 meV/atom. The symmetry is Immm (71). The value obtained for the calculated formation energy is -0.425 eV/atom. Its crystal system is orthorhombic.